Here is a relaxed structure of HRu3W from Alexandria. Energies are from PBE-GGA.

Output
- Crystal system: hexagonal
- VASP energy: -89.17 eV per cell

Cell lengths 5.5691, 5.5691, 4.4248 Å; angles 90.00, 90.00, 120.00 degrees
Last column: nearest neighbours and their distance in Å.
Positions (direct):
Ru1 0.9589 0.7924 0.2006  2 H 1.98
Ru2 0.3004 0.9631 0.7006  2 H 1.98
Ru3 0.9589 0.2801 0.2006  2 H 1.98
Ru4 0.4711 0.7924 0.2006  2 H 1.98
Ru5 0.3004 0.4509 0.7006  2 H 1.98
Ru6 0.7881 0.4509 0.7006  2 H 1.98
H1 0.1296 0.6216 0.9505  6 Ru 1.98, 2 H 2.21
H2 0.1297 0.6217 0.4505  6 Ru 1.98, 2 H 2.21
W1 0.7963 0.9550 0.7006  12 Ru 2.71-2.78
W2 0.4630 0.2883 0.2006  12 Ru 2.71-2.78

=====

Here is a relaxed structure of HRu3W from Alexandria. Energies are from PBE-GGA.

Output
- Crystal system: orthorhombic
- VASP energy: -43.28 eV per cell

Cell lengths 2.8199, 4.6848, 4.6848 Å; angles 92.43, 90.00, 90.00 degrees
Last column: nearest neighbours and their distance in Å.
Positions (direct):
W1 0.0000 0.6004 0.3996  9 Ru 2.64-2.76, 2 W 2.82
Ru1 0.5000 0.0949 0.3271  1 H 1.77
Ru2 0.0000 0.2098 0.7902  2 H 1.78
Ru3 0.5000 0.6729 0.9051  1 H 1.77
H1 0.5000 0.0501 0.9499  4 Ru 1.77-1.78

=====

Here is a relaxed structure of HRu3W from Alexandria. Energies are from PBE-GGA.

Output
- Crystal system: monoclinic
- VASP energy: -176.35 eV per cell

Cell lengths 10.1246, 7.1451, 7.1451 Å; angles 77.09, 123.23, 56.77 degrees
Last column: nearest neighbours and their distance in Å.
Positions (direct):
Ru1 0.9136 0.7693 0.8496  2 H 1.97-2.00
Ru2 0.5840 0.8554 0.7714  1 H 1.97
Ru3 0.9160 0.2714 0.3554  1 H 1.97
Ru4 0.4160 0.1446 0.2286  1 H 1.97
Ru5 0.0864 0.2307 0.1504  2 H 1.97-2.00
Ru6 0.5864 0.3496 0.2693  2 H 1.97-2.00
Ru7 0.0816 0.9877 0.8854  3 H 1.99-2.00
Ru8 0.0840 0.7286 0.6446  1 H 1.97
Ru9 0.4136 0.6504 0.7307  2 H 1.97-2.00
Ru10 0.5816 0.6146 0.5123  3 H 1.99-2.00
Ru11 0.4184 0.3854 0.4877  3 H 1.99-2.00
Ru12 0.9184 0.0123 0.1146  3 H 1.99-2.00
W1 0.5763 0.1228 0.0112  8 Ru 2.66-2.83, 4 W 2.84-2.89
W2 0.9237 0.5112 0.6228  8 Ru 2.66-2.83, 4 W 2.84-2.89
W3 0.4237 0.8772 0.9888  8 Ru 2.66-2.83, 4 W 2.84-2.89
W4 0.0763 0.4888 0.3772  8 Ru 2.66-2.83, 4 W 2.84-2.89
H1 0.2500 0.8107 0.3107  6 Ru 1.99-2.00
H2 0.7500 0.4370 0.9370  6 Ru 1.97-1.99
H3 0.7500 0.1893 0.6893  6 Ru 1.99-2.00
H4 0.2500 0.5630 0.0630  6 Ru 1.97-1.99

=====

> Which value of VASP energy does entry 2 give?

-43.28 eV per cell

=====

> The highest VASP energy belongs to which entry?

number 2

=====

> Look up the VASP energy of the third one.

-176.35 eV per cell

=====

> What is the VASP energy in the first record?

-89.17 eV per cell